(1)
Entry from Alexandria via LeMat-Bulk: a relaxed DyIBrO4 crystal (GGA-PBE).

a b c (Å): 6.5247 6.5247 6.5200
angles (deg): 91.69 91.69 63.65
Atoms (fractional coordinates):
Dy1 0.2686 0.2686 0.8381
Dy2 0.7314 0.7314 0.1619
I1 0.6256 0.6256 0.6616
I2 0.3744 0.3744 0.3384
Br1 0.0550 0.0550 0.1631
Br2 0.9450 0.9450 0.8369
O1 0.2244 0.2244 0.4942
O2 0.7756 0.7756 0.5058
O3 0.1295 0.5123 0.1513
O4 0.5474 0.5474 0.2425
O5 0.4877 0.8705 0.8487
O6 0.5123 0.1295 0.1513
O7 0.4526 0.4526 0.7575
O8 0.8705 0.4877 0.8487

Output
ΔE_f (raw) in eV per formula unit: -9.16
Total DFT energy (no corrections) in eV/atom: -5.26
Calculated density in g cm⁻³: 5.8
SG: C2/m (12)
M_tot in μB per formula unit: 0.00



(2)
Entry from Alexandria via LeMat-Bulk: a relaxed RbAl2NiBi crystal (GGA-PBE).

a b c (Å): 4.7827 5.5342 4.7827
angles (deg): 90.00 90.00 90.00
Atoms (fractional coordinates):
Ni1 0.0000 0.0000 0.0000
Bi1 0.0000 0.5000 0.0000
Rb1 0.5000 0.5000 0.5000
Al1 0.0000 0.0000 0.5000
Al2 0.5000 0.0000 0.0000

Output
Formation enthalpy at 0 K in meV per atom: 124
Total DFT energy (no corrections) in eV/atom: -3.50
Calculated density in g cm⁻³: 5.3
SG: P4/mmm (123)
Energy above the lowest structure with this stoichiometry in meV per atom: 0
M_tot in μB per formula unit: 0.00